# Mn4CdOs (GGA-PBE, optimized geometry)
data_Mn4CdOs
_chemical_formula_sum 'Mn16 Cd4 Os4'
_space_group_name_H-M_alt 'F -4 3 m'
_space_group_IT_number 216
_space_group_name_Hall 'F -4 2 3'
_cell_length_a 6.7645
_cell_length_b 6.7645
_cell_length_c 6.7645
_cell_angle_alpha 90.00
_cell_angle_beta 90.00
_cell_angle_gamma 90.00
loop_
_atom_site_label
_atom_site_type_symbol
_atom_site_fract_x
_atom_site_fract_y
_atom_site_fract_z
Mn1 Mn 0.1248 0.1248 0.1248
Cd1 Cd 0.0000 0.0000 0.5000
Os1 Os 0.2500 0.2500 0.7500
# - Theoretical density: 11.21 g/cm3
# - ΔH_f (0 K): 0.317 eV per atom
# - Uncorrected energy: -7.821 eV/atom
# - Crystal system: cubic
# - N(E_F): 1.324 states/eV/atom